(1)
# Li2HfZrFe2Sn2

A relaxed structure of Li2HfZrFe2Sn2 (PBE, OQMD).

Calculated values
magnetic moment	2.001	Bohr magnetons per cell
VASP energy	-6.16	eV/atom
space group	No. 115

Structure (POSCAR):
```
Li2HfZrFe2Sn2
1.0
4.470 0.000 0.000
0.000 4.470 0.000
0.000 0.000 6.322
Li Hf Zr Fe Sn
2 1 1 2 2
direct
0.000 0.500 0.250 Li
0.500 0.000 0.750 Li
0.000 0.000 0.000 Hf
0.500 0.500 0.500 Zr
0.000 0.500 0.753 Fe
0.500 0.000 0.247 Fe
0.000 0.000 0.500 Sn
0.500 0.500 0.000 Sn
```

***

(2)
# Zn2OF2

A relaxed structure of Zn2OF2 (PBE, OQMD).

Calculated values
VASP energy	-4.01	eV/atom
energy relative to the lowest polymorph listed for this composition	0.44	eV per formula unit
space group	No. 137

Structure (POSCAR):
```
Zn2OF2
1.0
7.593 0.000 0.000
0.000 7.593 0.000
0.000 0.000 5.376
Zn O F
8 4 8
direct
0.066 0.250 0.100 Zn
0.250 0.066 0.600 Zn
0.250 0.434 0.600 Zn
0.434 0.250 0.100 Zn
0.566 0.750 0.900 Zn
0.750 0.566 0.400 Zn
0.750 0.934 0.400 Zn
0.934 0.750 0.900 Zn
0.250 0.250 0.362 O
0.250 0.250 0.862 O
0.750 0.750 0.138 O
0.750 0.750 0.638 O
0.056 0.556 0.750 F
0.056 0.944 0.750 F
0.444 0.556 0.750 F
0.444 0.944 0.750 F
0.556 0.056 0.250 F
0.556 0.444 0.250 F
0.944 0.056 0.250 F
0.944 0.444 0.250 F
```

***

(3)
# Nb4Ga3W2C3

A relaxed structure of Nb4Ga3W2C3 (PBE, OQMD).

Calculated values
magnetic moment	0.001	Bohr magnetons per cell
VASP energy	-8.94	eV/atom
space group	No. 15

Structure (POSCAR):
```
Nb4Ga3W2C3
1.0
4.706 -2.721 0.000
4.706 2.721 0.000
-3.153 0.000 13.351
Nb Ga W C
8 6 4 6
direct
0.033 0.196 0.093 Nb
0.134 0.302 0.407 Nb
0.196 0.033 0.593 Nb
0.302 0.134 0.907 Nb
0.698 0.866 0.093 Nb
0.804 0.967 0.407 Nb
0.866 0.698 0.593 Nb
0.967 0.804 0.907 Nb
0.114 0.886 0.250 Ga
0.273 0.419 0.750 Ga
0.419 0.273 0.250 Ga
0.581 0.727 0.750 Ga
0.727 0.581 0.250 Ga
0.886 0.114 0.750 Ga
0.359 0.527 0.083 W
0.473 0.641 0.417 W
0.527 0.359 0.583 W
0.641 0.473 0.917 W
0.000 0.500 0.000 C
0.168 0.666 0.500 C
0.334 0.832 0.000 C
0.500 0.000 0.500 C
0.666 0.168 0.000 C
0.832 0.334 0.500 C
```

***

(4)
# NdYAlIr2

A relaxed structure of NdYAlIr2 (PBE, OQMD).

Calculated values
magnetic moment	0.003	Bohr magnetons per cell
VASP energy	-7.39	eV/atom
space group	No. 44

Structure (POSCAR):
```
NdYAlIr2
1.0
-2.067 2.930 4.369
2.067 -2.930 4.369
2.067 2.930 -4.369
Nd Y Al Ir
1 1 1 2
direct
0.000 0.000 0.000 Nd
0.603 0.603 0.000 Y
0.302 0.802 0.500 Al
0.044 0.302 0.742 Ir
0.560 0.302 0.258 Ir
```

***

(5)
# Er2CCl2

A relaxed structure of Er2CCl2 (PBE, OQMD).

Calculated values
magnetic moment	0.010	Bohr magnetons per cell
VASP energy	-5.96	eV/atom
space group	No. 166

Structure (POSCAR):
```
Er2CCl2
1.0
1.830 1.057 9.562
-1.830 1.057 9.562
0.000 -2.113 9.562
Er C Cl
2 1 2
direct
0.120 0.120 0.120 Er
0.880 0.880 0.880 Er
0.500 0.500 0.500 C
0.274 0.274 0.274 Cl
0.726 0.726 0.726 Cl
```

***

(6)
# Li2Cd2Sb

A relaxed structure of Li2Cd2Sb (PBE, OQMD).

Calculated values
VASP energy	-2.00	eV/atom
space group	No. 139

Structure (POSCAR):
```
Li2Cd2Sb
1.0
-2.052 2.052 5.883
2.052 -2.052 5.883
2.052 2.052 -5.883
Li Cd Sb
2 2 1
direct
0.095 0.095 0.000 Li
0.905 0.905 0.000 Li
0.250 0.750 0.500 Cd
0.750 0.250 0.500 Cd
0.500 0.500 0.000 Sb
```

***

Which of these has the highest VASP energy?
Li2Cd2Sb